--- 1 ---
Computed, not measured: PmSm2Al after structural relaxation at the PBE-GGA level of DFT.

As for the crystal system: tetragonal. The magnetic moment is 0.00 μB per formula unit. The theoretical density comes out at 6.63 Mg/m³.

CIF file:
```
data_PmSm2Al
_symmetry_space_group_name_H-M 'P 4/m m m'
_symmetry_Int_Tables_number 123
_symmetry_space_group_name_Hall '-P 4 2'
_cell_length_a 3.569
_cell_length_b 3.569
_cell_length_c 9.292
_cell_angle_alpha 90.00
_cell_angle_beta 90.00
_cell_angle_gamma 90.00
loop_
_atom_site_label
_atom_site_fract_x
_atom_site_fract_y
_atom_site_fract_z
Pm1 0.000 0.000 0.000
Sm1 0.500 0.500 0.288
Al1 0.000 0.000 0.500
```

---

--- 2 ---
Computed, not measured: PmSm2Al after structural relaxation at the PBE-GGA level of DFT.

As for the crystal system: orthorhombic. The magnetic moment is 0.00 μB per formula unit. The theoretical density comes out at 6.85 Mg/m³.

CIF file:
```
data_PmSm2Al
_symmetry_space_group_name_H-M 'A m m 2'
_symmetry_Int_Tables_number 38
_symmetry_space_group_name_Hall 'A 2 -2'
_cell_length_a 5.353
_cell_length_b 7.033
_cell_length_c 12.173
_cell_angle_alpha 90.00
_cell_angle_beta 90.00
_cell_angle_gamma 90.00
loop_
_atom_site_label
_atom_site_fract_x
_atom_site_fract_y
_atom_site_fract_z
Pm1 0.000 0.234 0.000
Sm1 0.000 0.000 0.766
Sm2 0.500 0.000 0.412
Sm3 0.500 0.234 0.178
Al1 0.000 0.000 0.256
Al2 0.500 0.000 0.922
```

---

Most favorable structure: 2. The second most favorable one is 21 meV per atom above it.

---

--- 1 ---
Computed, not measured: PmSm3Al2 after structural relaxation at the PBE-GGA level of DFT.

As for the crystal system: monoclinic. The magnetic moment is 0.00 μB per formula unit. The theoretical density comes out at 6.52 Mg/m³.

CIF file:
```
data_PmSm3Al2
_symmetry_space_group_name_H-M 'P 1 2/m 1'
_symmetry_Int_Tables_number 10
_symmetry_space_group_name_Hall '-P 2y'
_cell_length_a 4.892
_cell_length_b 4.488
_cell_length_c 7.924
_cell_angle_alpha 90.00
_cell_angle_beta 107.92
_cell_angle_gamma 90.00
loop_
_atom_site_label
_atom_site_fract_x
_atom_site_fract_y
_atom_site_fract_z
Pm1 0.000 0.000 0.000
Sm1 0.175 0.500 0.351
Sm2 0.500 0.500 0.000
Al1 0.341 0.000 0.680
```

---

--- 2 ---
Computed, not measured: PmSm3Al2 after structural relaxation at the PBE-GGA level of DFT.

As for the crystal system: orthorhombic. The magnetic moment is 0.00 μB per formula unit. The theoretical density comes out at 6.37 Mg/m³.

CIF file:
```
data_PmSm3Al2
_symmetry_space_group_name_H-M 'P m c 21'
_symmetry_Int_Tables_number 26
_symmetry_space_group_name_Hall 'P 2c -2'
_cell_length_a 5.210
_cell_length_b 9.745
_cell_length_c 6.676
_cell_angle_alpha 90.00
_cell_angle_beta 90.00
_cell_angle_gamma 90.00
loop_
_atom_site_label
_atom_site_fract_x
_atom_site_fract_y
_atom_site_fract_z
Pm1 0.000 0.045 0.000
Sm1 0.000 0.327 0.661
Sm2 0.500 0.175 0.286
Sm3 0.500 0.455 0.947
Al1 0.000 0.352 0.181
Al2 0.500 0.148 0.765
```

---

Most favorable structure: 2. The second most favorable one is 84 meV per atom above it.

---

--- 1 ---
Computed, not measured: Pm5Sm4Al after structural relaxation at the PBE-GGA level of DFT.

As for the crystal system: orthorhombic. The magnetic moment is 0.00 μB per formula unit. The theoretical density comes out at 7.03 Mg/m³.

CIF file:
```
data_Pm5Sm4Al
_symmetry_space_group_name_H-M 'P m m m'
_symmetry_Int_Tables_number 47
_symmetry_space_group_name_Hall '-P 2 2'
_cell_length_a 3.632
_cell_length_b 4.902
_cell_length_c 17.966
_cell_angle_alpha 90.00
_cell_angle_beta 90.00
_cell_angle_gamma 90.00
loop_
_atom_site_label
_atom_site_fract_x
_atom_site_fract_y
_atom_site_fract_z
Pm1 0.000 0.000 0.000
Pm2 0.000 0.000 0.208
Pm3 0.000 0.000 0.414
Sm1 0.500 0.500 0.104
Sm2 0.500 0.500 0.306
Al1 0.500 0.500 0.500
```

---

--- 2 ---
Computed, not measured: Pm5Sm4Al after structural relaxation at the PBE-GGA level of DFT.

As for the crystal system: tetragonal. The magnetic moment is 0.00 μB per formula unit. The theoretical density comes out at 6.68 Mg/m³.

CIF file:
```
data_Pm5Sm4Al
_symmetry_space_group_name_H-M 'I 4 m m'
_symmetry_Int_Tables_number 107
_symmetry_space_group_name_Hall 'I 4 -2'
_cell_length_a 10.706
_cell_length_b 10.706
_cell_length_c 5.872
_cell_angle_alpha 90.00
_cell_angle_beta 90.00
_cell_angle_gamma 90.00
loop_
_atom_site_label
_atom_site_fract_x
_atom_site_fract_y
_atom_site_fract_z
Pm1 0.000 0.000 0.000
Pm2 0.184 0.184 0.689
Sm1 0.000 0.313 0.196
Al1 0.000 0.000 0.479
```

---

Most favorable structure: 1. The second most favorable one is 136 meV per atom above it.

---

--- 1 ---
Computed, not measured: Pm5SmAl2 after structural relaxation at the PBE-GGA level of DFT.

As for the crystal system: orthorhombic. The magnetic moment is 0.00 μB per formula unit. The theoretical density comes out at 6.40 Mg/m³.

CIF file:
```
data_Pm5SmAl2
_symmetry_space_group_name_H-M 'I m m m'
_symmetry_Int_Tables_number 71
_symmetry_space_group_name_Hall '-I 2 2'
_cell_length_a 3.682
_cell_length_b 10.612
_cell_length_c 12.350
_cell_angle_alpha 90.00
_cell_angle_beta 90.00
_cell_angle_gamma 90.00
loop_
_atom_site_label
_atom_site_fract_x
_atom_site_fract_y
_atom_site_fract_z
Pm1 0.000 0.000 0.000
Pm2 0.000 0.282 0.358
Sm1 0.000 0.500 0.000
Al1 0.000 0.000 0.274
```

---

--- 2 ---
Computed, not measured: Pm5SmAl2 after structural relaxation at the PBE-GGA level of DFT.

As for the crystal system: hexagonal. The magnetic moment is 0.00 μB per formula unit. The theoretical density comes out at 6.05 Mg/m³.

CIF file:
```
data_Pm5SmAl2
_symmetry_space_group_name_H-M 'P 63/m m c'
_symmetry_Int_Tables_number 194
_symmetry_space_group_name_Hall '-P 6c 2c'
_cell_length_a 5.4230
_cell_length_b 5.4230
_cell_length_c 20.0361
_cell_angle_alpha 90.00
_cell_angle_beta 90.00
_cell_angle_gamma 120.00
loop_
_atom_site_label
_atom_site_fract_x
_atom_site_fract_y
_atom_site_fract_z
Pm1 0.0000 0.0000 0.1551
Pm2 0.3333 0.6667 0.0565
Pm3 0.3333 0.6667 0.2500
Sm1 0.3333 0.6667 0.7500
Al1 0.3333 0.6667 0.5993
```

---

Most favorable structure: 1. The second most favorable one is 59 meV per atom above it.

---

--- 1 ---
Computed, not measured: PmSm4Al after structural relaxation at the PBE-GGA level of DFT.

As for the crystal system: monoclinic. The magnetic moment is 0.00 μB per formula unit. The theoretical density comes out at 6.81 Mg/m³.

CIF file:
```
data_PmSm4Al
_symmetry_space_group_name_H-M 'C 1 2/c 1'
_symmetry_Int_Tables_number 15
_symmetry_space_group_name_Hall '-C 2yc'
_cell_length_a 8.934
_cell_length_b 14.071
_cell_length_c 6.356
_cell_angle_alpha 90.00
_cell_angle_beta 109.30
_cell_angle_gamma 90.00
loop_
_atom_site_label
_atom_site_fract_x
_atom_site_fract_y
_atom_site_fract_z
Pm1 0.000 0.094 0.250
Sm1 0.101 0.318 0.548
Sm2 0.221 0.112 0.873
Al1 0.000 0.500 0.250
```

---

--- 2 ---
Computed, not measured: PmSm4Al after structural relaxation at the PBE-GGA level of DFT.

As for the crystal system: tetragonal. The magnetic moment is 0.00 μB per formula unit. The theoretical density comes out at 6.88 Mg/m³.

CIF file:
```
data_PmSm4Al
_symmetry_space_group_name_H-M 'P 4/m m m'
_symmetry_Int_Tables_number 123
_symmetry_space_group_name_Hall '-P 4 2'
_cell_length_a 3.613
_cell_length_b 3.613
_cell_length_c 14.303
_cell_angle_alpha 90.00
_cell_angle_beta 90.00
_cell_angle_gamma 90.00
loop_
_atom_site_label
_atom_site_fract_x
_atom_site_fract_y
_atom_site_fract_z
Pm1 0.000 0.000 0.000
Sm1 0.000 0.000 0.366
Sm2 0.500 0.500 0.182
Al1 0.500 0.500 0.500
```

---

Most favorable structure: 2. The second most favorable one is 68 meV per atom above it.

---

--- 1 ---
Computed, not measured: Pm3SmAl2 after structural relaxation at the PBE-GGA level of DFT.

As for the crystal system: orthorhombic. The magnetic moment is 0.00 μB per formula unit. The theoretical density comes out at 6.22 Mg/m³.

CIF file:
```
data_Pm3SmAl2
_symmetry_space_group_name_H-M 'P m c 21'
_symmetry_Int_Tables_number 26
_symmetry_space_group_name_Hall 'P 2c -2'
_cell_length_a 5.225
_cell_length_b 9.765
_cell_length_c 6.694
_cell_angle_alpha 90.00
_cell_angle_beta 90.00
_cell_angle_gamma 90.00
loop_
_atom_site_label
_atom_site_fract_x
_atom_site_fract_y
_atom_site_fract_z
Pm1 0.000 0.045 0.000
Pm2 0.000 0.327 0.336
Pm3 0.500 0.174 0.714
Sm1 0.500 0.455 0.050
Al1 0.000 0.352 0.818
Al2 0.500 0.149 0.233
```

---

--- 2 ---
Computed, not measured: Pm3SmAl2 after structural relaxation at the PBE-GGA level of DFT.

As for the crystal system: orthorhombic. The magnetic moment is 0.00 μB per formula unit. The theoretical density comes out at 6.35 Mg/m³.

CIF file:
```
data_Pm3SmAl2
_symmetry_space_group_name_H-M 'C m m m'
_symmetry_Int_Tables_number 65
_symmetry_space_group_name_Hall '-C 2 2'
_cell_length_a 4.922
_cell_length_b 15.147
_cell_length_c 4.486
_cell_angle_alpha 90.00
_cell_angle_beta 90.00
_cell_angle_gamma 90.00
loop_
_atom_site_label
_atom_site_fract_x
_atom_site_fract_y
_atom_site_fract_z
Pm1 0.000 0.000 0.000
Pm2 0.000 0.324 0.000
Sm1 0.000 0.500 0.500
Al1 0.000 0.158 0.500
```

---

Most favorable structure: 1. The second most favorable one is 81 meV per atom above it.